The following is a DFT calculation (PBE) of crystalline OsWBr2 at its relaxed geometry. Values from VASP.

Cell and atoms, written as Quantum ESPRESSO input:
```
&SYSTEM
  ibrav = 0, nat = 4, ntyp = 3
/
ATOMIC_SPECIES
Os 190.23 Os.upf
Br 79.90 Br.upf
W 183.84 W.upf
CELL_PARAMETERS angstrom
0.724 -4.410 -0.874
-2.566 -3.173 2.020
-3.033 -2.366 -2.437
ATOMIC_POSITIONS angstrom
Os -2.438 -4.974 -0.646
Br -1.219 -2.487 -0.323
Br -3.656 -7.461 -0.969
W 0.000 0.000 0.000
```

Computed properties:
DFT total energy = -20.8 eV/cell
Offset from the most stable computed form = 1473.0 meV per atom
Magnetic moment = 0.0 μB/f.u.
D(E_F) = 2.9 states/eV/cell
Raw formation energy = 1.68 eV/atom